Entry 1:
Below is a geometry-optimized BaY2Ag2 structure, with properties calculated at the PBE level.

abc: 5.475 5.475 11.363
angles: 90.00 90.00 90.00
Element x y z (fractional)
Ba (0.000, 0.000, 0.000)
Ba (0.500, 0.500, 0.500)
Y (0.000, 0.000, 0.345)
Y (0.000, 0.000, 0.655)
Y (0.500, 0.500, 0.155)
Y (0.500, 0.500, 0.845)
Ag (0.000, 0.500, 0.250)
Ag (0.000, 0.500, 0.750)
Ag (0.500, 0.000, 0.250)
Ag (0.500, 0.000, 0.750)

Entry 2:
Below is a geometry-optimized Na2ZnAu3 structure, with properties calculated at the PBE level.

abc: 5.349 5.566 8.894
angles: 90.00 90.00 90.00
Element x y z (fractional)
Na (0.250, 0.000, 0.116)
Na (0.250, 0.500, 0.357)
Na (0.750, 0.000, 0.884)
Na (0.750, 0.500, 0.643)
Zn (0.250, 0.000, 0.521)
Zn (0.750, 0.000, 0.479)
Au (0.000, 0.500, 0.000)
Au (0.250, 0.252, 0.761)
Au (0.250, 0.748, 0.761)
Au (0.500, 0.500, 0.000)
Au (0.750, 0.252, 0.239)
Au (0.750, 0.748, 0.239)

Number 1: electronic total energy -40.74 eV per cell, DOS(E_F) 11.3 states/eV/cell. Number 2: electronic total energy -30.40 eV per cell, DOS(E_F) 3.7 states/eV/cell.